Computed, not measured: crystalline HgWCl2 at its relaxed geometry at the GGA-PBE level of DFT.

The value obtained for the total DFT energy (no corrections) is -3.225 eV/atom. As for the uncorrected formation energy: 1.012 eV per atom. The calculation puts the magnetic moment at 2.5 μB/cell.

Lattice parameters (Å, degrees): 5.2666 5.2666 3.0226 90.00 90.00 90.00
Closest atoms and distances in Å follow each position.
Atoms (fractional coordinates):
Hg: 0.5000 0.0000 0.5000  2 Hg 3.02, 8 Cl 3.04
W: 0.0000 0.5000 0.5000  2 W 3.02, 8 Cl 3.04
Cl: 0.0000 0.0000 0.0000  2 Cl 3.02, 4 Hg 3.04, 4 W 3.04
Cl: 0.5000 0.5000 0.0000  2 Cl 3.02, 4 Hg 3.04, 4 W 3.04